A plane-wave DFT calculation with PBE was carried out for a geometry-optimized EuBPt4 structure.

```
EuBPt4
1.0
5.534 0.000 0.000
-2.767 4.793 0.000
0.000 0.000 7.648
Eu B Pt
2 2 8
Cartesian
0.000 0.000 0.000 Eu
0.000 0.000 3.824 Eu
0.000 3.195 0.000 B
2.767 1.598 0.000 B
-1.384 2.396 1.516 Pt
-1.384 2.396 6.132 Pt
0.000 3.195 3.824 Pt
2.767 0.000 1.516 Pt
2.767 0.000 6.132 Pt
1.384 2.396 1.516 Pt
1.384 2.396 6.132 Pt
2.767 1.598 3.824 Pt
```

For the total energy, the calculation gives -7.550 eV/atom. As for the volume: 16.91 Å³/atom. The calculation puts the energy of formation from the pure elements at -0.698 eV/atom. The space-group type is P6/mmm.